(1)
Density functional theory data (PBE) for an optimized crystal structure of Na2SrGaF.

Structure (POSCAR):
```
Na2SrGaF
1.0
7.130 0.000 0.000
0.000 7.130 0.000
0.000 0.000 5.891
Na Sr Ga F
2 1 1 1
direct
0.000 0.500 0.000 Na
0.500 0.000 0.000 Na
0.000 0.000 0.000 Sr
0.000 0.000 0.500 Ga
0.500 0.500 0.500 F
```

Values from the calculation:
The calculation puts the total magnetic moment at 1.6 μB per cell. The energy relative to the elements, uncorrected comes out at 1.37 eV per formula unit. The space-group type is P4/mmm (123). The final energy is -1.57 eV/atom. The relative energy among the computed polymorphs is 671 kJ/mol of formula units.

***

(2)
Density functional theory data (PBE) for an optimized crystal structure of CsScTe2.

Structure (POSCAR):
```
CsScTe2
1.0
5.510 -5.512 0.000
5.510 5.512 0.000
-5.472 0.000 20.018
Cs Sc Te
8 8 16
direct
0.045 0.799 0.595 Cs
0.201 0.955 0.905 Cs
0.208 0.461 0.916 Cs
0.461 0.208 0.416 Cs
0.539 0.792 0.584 Cs
0.792 0.539 0.084 Cs
0.799 0.045 0.095 Cs
0.955 0.201 0.405 Cs
0.095 0.343 0.687 Sc
0.336 0.588 0.172 Sc
0.343 0.095 0.187 Sc
0.412 0.664 0.328 Sc
0.588 0.336 0.672 Sc
0.657 0.905 0.813 Sc
0.664 0.412 0.828 Sc
0.905 0.657 0.313 Sc
0.133 0.385 0.250 Te
0.134 0.866 0.250 Te
0.199 0.709 0.425 Te
0.278 0.284 0.575 Te
0.284 0.278 0.075 Te
0.291 0.801 0.075 Te
0.385 0.133 0.750 Te
0.385 0.615 0.750 Te
0.615 0.385 0.250 Te
0.615 0.867 0.250 Te
0.709 0.199 0.925 Te
0.716 0.722 0.925 Te
0.722 0.716 0.425 Te
0.801 0.291 0.575 Te
0.866 0.134 0.750 Te
0.867 0.615 0.750 Te
```

Values from the calculation:
The calculation puts the total magnetic moment at 0.0 μB per cell. The energy relative to the elements, uncorrected comes out at -4.43 eV per formula unit. The space-group type is C2/c (15). The final energy is -4.47 eV/atom.